VASP calculation (GGA-PBEsol) on crystalline LiTiS3 at its relaxed geometry.

a b c (Å): 4.6781 4.6781 4.6781
angles (deg): 90.00 90.00 90.00
Space group Pm-3m (No. 221)
Symmetry-distinct sites (fractional):
Li: 0.0000 0.0000 0.0000 [1 per cell]
Ti: 0.5000 0.5000 0.5000 [1 per cell]
S: 0.0000 0.5000 0.5000 [3 per cell]

E_tot = -5.521 eV per atom
magnetization = 0.0 μB/f.u.
Fermi-level density of states = 1.30 states/eV per cell
uncorrected formation energy = -833 meV per atom